! GGA-PBE SmHoSc4, optimized geometry; values from VASP
&SYSTEM
  ibrav = 0, nat = 12, ntyp = 3
/
ATOMIC_SPECIES
Sm 150.36 Sm.upf
Ho 164.93 Ho.upf
Sc 44.96 Sc.upf
ATOMIC_POSITIONS angstrom
Sm 1.696 4.917 5.439
Sm 1.696 -4.917 0.000
Ho 1.696 2.851 8.062
Ho 1.696 -2.851 2.623
Sc 1.696 8.719 8.134
Sc 1.696 6.932 10.810
Sc 1.696 2.848 2.771
Sc 1.696 0.902 10.867
Sc 1.696 -0.902 5.429
Sc 1.696 -2.848 8.209
Sc 1.696 -6.932 5.371
Sc 1.696 -8.719 2.695
CELL_PARAMETERS angstrom
1.696 -8.778 0.000
1.696 8.778 0.000
0.000 0.000 10.877
! DOS(E_F) (states/eV per cell): 19.75
! VASP energy (eV per atom): -5.728
! Distance to the lowest polymorph of the same formula (meV/atom): 0